Entry 1:
Computed, not measured: a relaxed structure of Fe2HgOs at the GGA-PBE level of DFT.

## Properties
uncorrected energy	-6.698	eV/atom
SG	P4mm, No. 99

Cell lengths 2.8944, 2.8944, 7.0303 Å; angles 90.00, 90.00, 90.00 degrees
Closest atoms and distances in Å follow each position.
Positions (direct):
Fe1 0.0000 0.0000 0.0062  4 Fe 2.48, 4 Os 2.51
Fe2 0.5000 0.5000 0.2047  4 Fe 2.48
Hg1 0.0000 0.0000 0.4889  4 Fe 2.86, 4 Hg 2.89, 4 Os 3.00
Os1 0.5000 0.5000 0.8002  4 Fe 2.51

***

Entry 2:
Computed, not measured: a relaxed structure of FeHg2Os at the GGA-PBE level of DFT.

## Properties
SG	Cmmm, No. 65
relative energy among the computed polymorphs	1.49	eV per formula unit

Cell lengths 2.8627, 2.8627, 9.6054 Å; angles 90.00, 90.00, 118.25 degrees
Closest atoms and distances in Å follow each position.
Positions (direct):
Fe1 0.5000 0.5000 0.7500  4 Hg 2.75, 6 Fe 2.86-2.94
Hg1 0.0000 0.0000 0.9922  2 Fe 2.75, 6 Hg 2.86-2.94, 2 Os 2.88
Hg2 0.0000 0.0000 0.5078  2 Fe 2.75, 6 Hg 2.86-2.94, 2 Os 2.88
Os1 0.5000 0.5000 0.2500  6 Os 2.86-2.94, 4 Hg 2.88

***

Entry 3:
Computed, not measured: a relaxed structure of FeHgOs2 at the GGA-PBE level of DFT.

## Properties
uncorrected energy	-6.914	eV/atom
SG	Cmmm, No. 65

Cell lengths 4.8092, 4.8092, 2.8359 Å; angles 90.00, 90.00, 111.04 degrees
Closest atoms and distances in Å follow each position.
Positions (direct):
Fe1 0.5000 0.0000 0.5000  2 Hg 2.72, 8 Os 2.79, 2 Fe 2.84
Hg1 0.0000 0.5000 0.5000  2 Fe 2.72, 8 Os 2.79, 2 Hg 2.84
Os1 0.0000 0.0000 0.0000  4 Os 2.72-2.84, 4 Fe 2.79, 4 Hg 2.79
Os2 0.5000 0.5000 0.0000  4 Os 2.72-2.84, 4 Hg 2.79, 4 Fe 2.79

***

Entry 4:
Computed, not measured: a relaxed structure of Fe4HgOs at the GGA-PBE level of DFT.

## Properties
uncorrected energy	-7.197	eV/atom
SG	F-43m, No. 216

Cell lengths 4.8381, 4.8381, 4.8381 Å; angles 60.00, 60.00, 60.00 degrees
Closest atoms and distances in Å follow each position.
Positions (direct):
Fe1 0.6255 0.6255 0.1234  6 Fe 2.41-2.43
Fe2 0.6255 0.1234 0.6255  6 Fe 2.41-2.43
Fe3 0.6255 0.6255 0.6255  6 Fe 2.41-2.43
Fe4 0.1234 0.6255 0.6255  6 Fe 2.41-2.43
Hg1 0.2500 0.2500 0.2500  12 Fe 2.84, 4 Os 2.96
Os1 0.0000 0.0000 0.0000  12 Fe 2.84, 4 Hg 2.96

***

Entry 5:
Computed, not measured: a relaxed structure of FeHg2Os at the GGA-PBE level of DFT.

## Properties
SG	I-42d, No. 122
relative energy among the computed polymorphs	2.42	eV per formula unit

Cell lengths 3.9250, 3.9250, 10.1923 Å; angles 78.90, 78.90, 90.00 degrees
Closest atoms and distances in Å follow each position.
Positions (direct):
Os1 0.0000 0.0000 0.0000  4 Fe 2.78, 4 Hg 2.82
Os2 0.7500 0.2500 0.5000  4 Fe 2.78, 4 Hg 2.82
Hg1 0.6264 0.1250 0.2500  4 Hg 2.77-2.78, 2 Os 2.82, 2 Fe 2.82
Hg2 0.1236 0.6250 0.2500  4 Hg 2.77-2.78, 2 Os 2.82, 2 Fe 2.82
Hg3 0.3750 0.3736 0.7500  4 Hg 2.77-2.78, 2 Os 2.82, 2 Fe 2.82
Hg4 0.8750 0.8764 0.7500  4 Hg 2.77-2.78, 2 Os 2.82, 2 Fe 2.82
Fe1 0.5000 0.5000 0.0000  4 Os 2.78, 4 Hg 2.82
Fe2 0.2500 0.7500 0.5000  4 Os 2.78, 4 Hg 2.82

***

Entry 6:
Computed, not measured: a relaxed structure of FeHg2Os at the GGA-PBE level of DFT.

## Properties
SG	P4/mmm, No. 123
relative energy among the computed polymorphs	1.34	eV per formula unit

Cell lengths 4.1715, 4.0499, 4.0499 Å; angles 90.00, 90.00, 90.00 degrees
Closest atoms and distances in Å follow each position.
Positions (direct):
Fe1 0.5000 0.0000 0.5000  4 Os 2.86, 8 Hg 2.91
Hg1 0.0000 0.0000 0.0000  4 Hg 2.86, 4 Fe 2.91, 4 Os 2.91
Hg2 0.0000 0.5000 0.5000  4 Hg 2.86, 4 Fe 2.91, 4 Os 2.91
Os1 0.5000 0.5000 0.0000  4 Fe 2.86, 8 Hg 2.91

***

Entry 7:
Computed, not measured: a relaxed structure of FeHg2Os at the GGA-PBE level of DFT.

## Properties
SG	F-43m, No. 216
relative energy among the computed polymorphs	1.81	eV per formula unit

Cell lengths 4.6099, 4.6099, 4.6099 Å; angles 60.00, 60.00, 60.00 degrees
Closest atoms and distances in Å follow each position.
Positions (direct):
Fe1 0.5000 0.5000 0.5000  4 Hg 2.82, 4 Os 2.82
Hg1 0.0000 0.0000 0.0000  4 Hg 2.82, 4 Os 2.82
Hg2 0.7500 0.7500 0.7500  4 Fe 2.82, 4 Hg 2.82
Os1 0.2500 0.2500 0.2500  4 Hg 2.82, 4 Fe 2.82

***

Entry 8:
Computed, not measured: a relaxed structure of FeHg2Os at the GGA-PBE level of DFT.

## Properties
SG	I4/mmm, No. 139
relative energy among the computed polymorphs	1.47	eV per formula unit

Cell lengths 5.0956, 5.0956, 5.0956 Å; angles 133.23, 133.23, 68.29 degrees
Closest atoms and distances in Å follow each position.
Positions (direct):
Fe1 0.7500 0.2500 0.5000  4 Os 2.86, 8 Hg 2.92
Hg1 0.0000 0.0000 0.0000  4 Hg 2.86, 4 Fe 2.92, 4 Os 2.92
Hg2 0.5000 0.5000 0.0000  4 Hg 2.86, 4 Os 2.92, 4 Fe 2.92
Os1 0.2500 0.7500 0.5000  4 Fe 2.86, 8 Hg 2.92

***

Entry 9:
Computed, not measured: a relaxed structure of FeHgOs2 at the GGA-PBE level of DFT.

## Properties
uncorrected energy	-7.057	eV/atom
SG	I-4m2, No. 119

Cell lengths 4.7996, 4.7996, 4.7996 Å; angles 131.60, 131.60, 70.86 degrees
Closest atoms and distances in Å follow each position.
Positions (direct):
Fe1 0.5000 0.5000 0.0000  4 Hg 2.77, 8 Os 2.77-2.78
Hg1 0.7500 0.2500 0.5000  4 Fe 2.77, 8 Os 2.77-2.78
Os1 0.0000 0.0000 0.0000  4 Os 2.77, 4 Hg 2.77, 4 Fe 2.78
Os2 0.2500 0.7500 0.5000  4 Os 2.77, 4 Fe 2.77, 4 Hg 2.78

***

Entry 10:
Computed, not measured: a relaxed structure of Fe2HgOs at the GGA-PBE level of DFT.

## Properties
uncorrected energy	-6.543	eV/atom
SG	I4/mmm, No. 139

Cell lengths 4.6311, 4.6311, 4.6311 Å; angles 128.72, 128.67, 75.51 degrees
Closest atoms and distances in Å follow each position.
Positions (direct):
Fe1 0.0001 0.0001 0.0000  4 Os 2.71-2.72, 4 Hg 2.71-2.72, 4 Fe 2.84
Fe2 0.4999 0.4999 0.0000  4 Os 2.71-2.72, 4 Hg 2.71-2.72, 4 Fe 2.84
Hg1 0.7500 0.2500 0.5000  8 Fe 2.71-2.72, 4 Os 2.84
Os1 0.2500 0.7500 0.5000  8 Fe 2.71-2.72, 4 Hg 2.84

***

Entry 11:
Computed, not measured: a relaxed structure of FeHg2Os at the GGA-PBE level of DFT.

## Properties
SG	I-4m2, No. 119
relative energy among the computed polymorphs	1.52	eV per formula unit

Cell lengths 4.9967, 4.9967, 4.9967 Å; angles 131.48, 131.48, 71.05 degrees
Closest atoms and distances in Å follow each position.
Positions (direct):
Fe1 0.7500 0.2500 0.5000  4 Os 2.89, 8 Hg 2.89-2.90
Hg1 0.0000 0.0000 0.0000  4 Fe 2.89, 4 Hg 2.89, 4 Os 2.90
Hg2 0.2500 0.7500 0.5000  4 Hg 2.89, 4 Os 2.89, 4 Fe 2.90
Os1 0.5000 0.5000 0.0000  8 Hg 2.89-2.90, 4 Fe 2.89

***

Entry 12:
Computed, not measured: a relaxed structure of FeSi2HgOs at the GGA-PBE level of DFT.

## Properties
SG	P4/mmm, No. 123
formation energy (no corrections)	2.18	eV per atom
relative energy among the computed polymorphs	6.66	eV per formula unit

Cell lengths 4.7544, 4.8021, 4.7544 Å; angles 90.00, 90.00, 90.00 degrees
Closest atoms and distances in Å follow each position.
Positions (direct):
Si1 0.0000 0.0000 0.5000  2 Hg 2.38
Si2 0.5000 0.0000 0.0000  2 Hg 2.38
Os1 0.5000 0.5000 0.5000  4 Fe 3.36, 8 Si 3.38
Hg1 0.0000 0.0000 0.0000  4 Si 2.38, 2 Fe 2.40
Fe1 0.0000 0.5000 0.0000  2 Hg 2.40

***

| no. | density (g/cm³) |
| --- | --- |
| 1 | 14.17 |
| 2 | 15.50 |
| 3 | 17.28 |
| 4 | 12.74 |
| 5 | 14.23 |
| 6 | 15.71 |
| 7 | 15.52 |
| 8 | 15.58 |
| 9 | 17.47 |
| 10 | 14.17 |
| 11 | 15.68 |
| 12 | 7.69 |